Entry 1:
# CuAsOs

Crystalline CuAsOs at its relaxed geometry (PBE-GGA, Alexandria).

## Properties
VASP energy (eV per atom): -6.0849
ΔH_f (0 K) (meV per atom): 574
Total magnetic moment (μB per formula unit): 0.00
E above lowest polymorph (eV/atom): 0.3130

```
data_CuAsOs
_chemical_formula_sum 'Cu1 As1 Os1'
_symmetry_space_group_name_H-M 'P 1'
_symmetry_Int_Tables_number 1
_cell_length_a 6.978
_cell_length_b 6.716
_cell_length_c 2.798
_cell_angle_alpha 83.51
_cell_angle_beta 73.01
_cell_angle_gamma 23.48
loop_
_symmetry_equiv_pos_as_xyz
'x,y,z'
loop_
_atom_site_label
_atom_site_fract_x
_atom_site_fract_y
_atom_site_fract_z
Os1 0.664 0.664 0.336
Cu1 0.328 0.328 0.672
As1 0.007 0.007 0.993
```

Entry 2:
# Be2TlPb

Crystalline Be2TlPb at its relaxed geometry (PBE-GGA, Alexandria).

## Properties
VASP energy (eV per atom): -2.8693
ΔH_f (0 K) (meV per atom): 512
Total magnetic moment (μB per formula unit): 0.00
E above lowest polymorph (eV/atom): 0.0000

```
data_Be2TlPb
_chemical_formula_sum 'Be2 Tl1 Pb1'
_symmetry_space_group_name_H-M 'P 1'
_symmetry_Int_Tables_number 1
_cell_length_a 4.143
_cell_length_b 4.165
_cell_length_c 4.926
_cell_angle_alpha 67.22
_cell_angle_beta 90.00
_cell_angle_gamma 90.00
loop_
_symmetry_equiv_pos_as_xyz
'x,y,z'
loop_
_atom_site_label
_atom_site_fract_x
_atom_site_fract_y
_atom_site_fract_z
Tl1 0.500 0.792 0.821
Be1 0.000 0.151 0.038
Be2 0.500 0.090 0.221
Pb1 0.000 0.467 0.420
```

Entry 3:
# AcAgTe2

Crystalline AcAgTe2 at its relaxed geometry (PBE-GGA, Alexandria).

## Properties
VASP energy (eV per atom): -4.1357
Total magnetic moment (μB per formula unit): 0.00
E above lowest polymorph (eV/atom): 0.2357

```
data_AcAgTe2
_chemical_formula_sum 'Ac1 Ag1 Te2'
_symmetry_space_group_name_H-M 'P 1'
_symmetry_Int_Tables_number 1
_cell_length_a 5.567
_cell_length_b 5.567
_cell_length_c 5.567
_cell_angle_alpha 60.00
_cell_angle_beta 60.00
_cell_angle_gamma 60.00
loop_
_symmetry_equiv_pos_as_xyz
'x,y,z'
loop_
_atom_site_label
_atom_site_fract_x
_atom_site_fract_y
_atom_site_fract_z
Te1 0.750 0.750 0.750
Te2 0.250 0.250 0.250
Ag1 0.000 0.000 0.000
Ac1 0.500 0.500 0.500
```

Entry 4:
# Pm5YTm2

Crystalline Pm5YTm2 at its relaxed geometry (PBE-GGA, Alexandria).

## Properties
VASP energy (eV per atom): -4.8783
ΔH_f (0 K) (meV per atom): 17
Total magnetic moment (μB per formula unit): 0.00
E above lowest polymorph (eV/atom): 0.0000

```
data_Pm5YTm2
_chemical_formula_sum 'Pm10 Y2 Tm4'
_symmetry_space_group_name_H-M 'P 1'
_symmetry_Int_Tables_number 1
_cell_length_a 5.091
_cell_length_b 7.199
_cell_length_c 14.402
_cell_angle_alpha 90.00
_cell_angle_beta 90.00
_cell_angle_gamma 90.00
loop_
_symmetry_equiv_pos_as_xyz
'x,y,z'
loop_
_atom_site_label
_atom_site_fract_x
_atom_site_fract_y
_atom_site_fract_z
Pm1 0.500 0.251 0.875
Pm2 0.000 0.000 0.000
Pm3 0.000 0.499 0.250
Pm4 0.500 0.249 0.375
Pm5 0.000 0.500 0.500
Pm6 0.000 0.001 0.750
Pm7 0.500 0.751 0.625
Pm8 0.000 0.501 0.750
Pm9 0.500 0.749 0.125
Pm10 0.000 0.999 0.250
Tm1 0.500 0.250 0.124
Tm2 0.500 0.750 0.876
Tm3 0.500 0.250 0.624
Tm4 0.500 0.750 0.376
Y1 0.000 0.000 0.500
Y2 0.000 0.500 0.000
```

Entry 5:
# PuTlGe2Cl8

Crystalline PuTlGe2Cl8 at its relaxed geometry (PBE-GGA, Alexandria).

## Properties
VASP energy (eV per atom): -4.5785
Total magnetic moment (μB per formula unit): 5.00

```
data_PuTlGe2Cl8
_chemical_formula_sum 'Pu1 Tl1 Ge2 Cl8'
_symmetry_space_group_name_H-M 'P 1'
_symmetry_Int_Tables_number 1
_cell_length_a 6.978
_cell_length_b 6.334
_cell_length_c 9.104
_cell_angle_alpha 88.63
_cell_angle_beta 86.43
_cell_angle_gamma 86.30
loop_
_symmetry_equiv_pos_as_xyz
'x,y,z'
loop_
_atom_site_label
_atom_site_fract_x
_atom_site_fract_y
_atom_site_fract_z
Cl1 0.359 0.275 0.570
Cl2 0.854 0.266 0.217
Cl3 0.146 0.734 0.783
Cl4 0.321 0.244 0.962
Cl5 0.190 0.782 0.209
Cl6 0.679 0.756 0.038
Cl7 0.810 0.218 0.791
Cl8 0.641 0.725 0.430
Pu1 0.000 0.000 0.000
Ge1 0.543 0.537 0.238
Ge2 0.457 0.463 0.762
Tl1 0.000 0.000 0.500
```

Entry 6:
# LiCe2Sn2

Crystalline LiCe2Sn2 at its relaxed geometry (PBE-GGA, Alexandria).

## Properties
VASP energy (eV per atom): -4.8230
ΔH_f (0 K) (meV per atom): -466
Total magnetic moment (μB per formula unit): 1.39

```
data_LiCe2Sn2
_chemical_formula_sum 'Li2 Ce4 Sn4'
_symmetry_space_group_name_H-M 'P 1'
_symmetry_Int_Tables_number 1
_cell_length_a 4.377
_cell_length_b 7.980
_cell_length_c 7.980
_cell_angle_alpha 90.00
_cell_angle_beta 90.00
_cell_angle_gamma 90.00
loop_
_symmetry_equiv_pos_as_xyz
'x,y,z'
loop_
_atom_site_label
_atom_site_fract_x
_atom_site_fract_y
_atom_site_fract_z
Ce1 0.500 0.378 0.122
Ce2 0.500 0.878 0.378
Ce3 0.500 0.122 0.622
Ce4 0.500 0.622 0.878
Sn1 0.000 0.825 0.675
Sn2 0.000 0.675 0.175
Sn3 0.000 0.325 0.825
Sn4 0.000 0.175 0.325
Li1 0.000 0.000 0.000
Li2 0.000 0.500 0.500
```

Entry 7:
# MgH3Pd5

Crystalline MgH3Pd5 at its relaxed geometry (PBE-GGA, Alexandria).

## Properties
VASP energy (eV per atom): -4.4497
Total magnetic moment (μB per formula unit): 0.00

```
data_MgH3Pd5
_chemical_formula_sum 'Mg2 H6 Pd10'
_symmetry_space_group_name_H-M 'P 1'
_symmetry_Int_Tables_number 1
_cell_length_a 5.750
_cell_length_b 5.750
_cell_length_c 8.454
_cell_angle_alpha 61.52
_cell_angle_beta 61.52
_cell_angle_gamma 62.65
loop_
_symmetry_equiv_pos_as_xyz
'x,y,z'
loop_
_atom_site_label
_atom_site_fract_x
_atom_site_fract_y
_atom_site_fract_z
Pd1 0.594 0.594 0.654
Pd2 0.396 0.927 0.337
Pd3 0.406 0.406 0.346
Pd4 0.604 0.073 0.663
Pd5 0.762 0.762 0.001
Pd6 0.927 0.396 0.337
Pd7 0.276 0.724 0.000
Pd8 0.073 0.604 0.663
Pd9 0.724 0.276 0.000
Pd10 0.238 0.238 0.999
H1 0.312 0.312 0.169
H2 0.000 0.000 0.500
H3 0.000 0.000 0.000
H4 0.688 0.688 0.831
H5 0.384 0.384 0.730
H6 0.616 0.616 0.270
Mg1 0.093 0.093 0.680
Mg2 0.907 0.907 0.320
```

Entry 8:
# Cs4Si23

Crystalline Cs4Si23 at its relaxed geometry (PBE-GGA, Alexandria).

## Properties
VASP energy (eV per atom): -4.7082
Total magnetic moment (μB per formula unit): 0.00

```
data_Cs4Si23
_chemical_formula_sum 'Cs8 Si46'
_symmetry_space_group_name_H-M 'P 1'
_symmetry_Int_Tables_number 1
_cell_length_a 10.497
_cell_length_b 10.497
_cell_length_c 10.497
_cell_angle_alpha 90.00
_cell_angle_beta 90.00
_cell_angle_gamma 90.00
loop_
_symmetry_equiv_pos_as_xyz
'x,y,z'
loop_
_atom_site_label
_atom_site_fract_x
_atom_site_fract_y
_atom_site_fract_z
Si1 0.250 0.000 0.500
Si2 0.750 0.000 0.500
Si3 0.194 0.500 0.621
Si4 0.500 0.379 0.194
Si5 0.194 0.500 0.379
Si6 0.806 0.500 0.379
Si7 0.621 0.806 0.500
Si8 0.121 0.000 0.694
Si9 0.694 0.879 0.000
Si10 0.815 0.815 0.815
Si11 0.315 0.685 0.315
Si12 0.500 0.621 0.194
Si13 0.379 0.194 0.500
Si14 0.694 0.121 0.000
Si15 0.685 0.685 0.685
Si16 0.306 0.121 0.000
Si17 0.185 0.185 0.185
Si18 0.315 0.315 0.315
Si19 0.315 0.685 0.685
Si20 0.685 0.315 0.685
Si21 0.379 0.806 0.500
Si22 0.000 0.694 0.879
Si23 0.500 0.250 0.000
Si24 0.806 0.500 0.621
Si25 0.315 0.315 0.685
Si26 0.000 0.306 0.121
Si27 0.815 0.185 0.185
Si28 0.000 0.694 0.121
Si29 0.879 0.000 0.306
Si30 0.685 0.685 0.315
Si31 0.306 0.879 0.000
Si32 0.185 0.815 0.185
Si33 0.879 0.000 0.694
Si34 0.000 0.500 0.250
Si35 0.815 0.815 0.185
Si36 0.185 0.185 0.815
Si37 0.500 0.750 0.000
Si38 0.000 0.500 0.750
Si39 0.500 0.379 0.806
Si40 0.815 0.185 0.815
Si41 0.000 0.306 0.879
Si42 0.185 0.815 0.815
Si43 0.621 0.194 0.500
Si44 0.685 0.315 0.315
Si45 0.121 0.000 0.306
Si46 0.500 0.621 0.806
Cs1 0.500 0.500 0.500
Cs2 0.250 0.500 0.000
Cs3 0.000 0.000 0.000
Cs4 0.500 0.000 0.250
Cs5 0.500 0.000 0.750
Cs6 0.000 0.250 0.500
Cs7 0.000 0.750 0.500
Cs8 0.750 0.500 0.000
```

Entry 9:
# AlGe3Te

Crystalline AlGe3Te at its relaxed geometry (PBE-GGA, Alexandria).

## Properties
VASP energy (eV per atom): -3.0890
Total magnetic moment (μB per formula unit): 0.00
E above lowest polymorph (eV/atom): 0.5895

```
data_AlGe3Te
_chemical_formula_sum 'Al1 Ge3 Te1'
_symmetry_space_group_name_H-M 'P 1'
_symmetry_Int_Tables_number 1
_cell_length_a 5.421
_cell_length_b 5.421
_cell_length_c 5.421
_cell_angle_alpha 90.00
_cell_angle_beta 90.00
_cell_angle_gamma 90.00
loop_
_symmetry_equiv_pos_as_xyz
'x,y,z'
loop_
_atom_site_label
_atom_site_fract_x
_atom_site_fract_y
_atom_site_fract_z
Al1 0.500 0.500 0.500
Ge1 0.000 0.500 0.000
Ge2 0.000 0.000 0.500
Ge3 0.500 0.000 0.000
Te1 0.000 0.000 0.000
```

Entry 10:
# Cs2Ta2Bi

Crystalline Cs2Ta2Bi at its relaxed geometry (PBE-GGA, Alexandria).

## Properties
VASP energy (eV per atom): -4.3583
ΔH_f (0 K) (meV per atom): 1500
Total magnetic moment (μB per formula unit): 0.00
E above lowest polymorph (eV/atom): 0.7374

```
data_Cs2Ta2Bi
_chemical_formula_sum 'Cs4 Ta4 Bi2'
_symmetry_space_group_name_H-M 'P 1'
_symmetry_Int_Tables_number 1
_cell_length_a 11.511
_cell_length_b 11.511
_cell_length_c 3.243
_cell_angle_alpha 90.00
_cell_angle_beta 90.00
_cell_angle_gamma 90.00
loop_
_symmetry_equiv_pos_as_xyz
'x,y,z'
loop_
_atom_site_label
_atom_site_fract_x
_atom_site_fract_y
_atom_site_fract_z
Bi1 0.000 0.000 0.000
Bi2 0.500 0.500 0.000
Cs1 0.787 0.713 0.000
Cs2 0.287 0.787 0.000
Cs3 0.713 0.213 0.000
Cs4 0.213 0.287 0.000
Ta1 0.429 0.071 0.500
Ta2 0.571 0.929 0.500
Ta3 0.071 0.571 0.500
Ta4 0.929 0.429 0.500
```

We obtain calculated volume values of 15.22, 19.59, 30.50, 32.99, 33.39, 27.88, 11.44, 21.42, 31.87, 42.97 Å³/atom for the records listed above, in that order.